#1
This record from Alexandria describes AlNiBr2 after structural relaxation. The functional is GGA-PBE.

Unit cell a=4.8808 b=4.8808 c=4.8808 alpha=60.00 beta=60.00 gamma=60.00
Last column: nearest neighbours and their distance in Å.
Sites, in units of the cell vectors:
Ni  0.7500  0.7500  0.7500  4 Br 2.99, 4 Al 2.99
Al  0.5000  0.5000  0.5000  4 Ni 2.99, 4 Br 2.99
Br  0.0000  0.0000  0.0000  4 Br 2.99, 4 Ni 2.99
Br  0.2500  0.2500  0.2500  4 Al 2.99, 4 Br 2.99

**Size of the total moment**: 0.26 μB/f.u.
**V**: 20.6 Å³/atom

***

#2
This record from Alexandria describes AlNiBr2 after structural relaxation. The functional is GGA-PBE.

Unit cell a=3.7861 b=3.7861 c=8.2382 alpha=90.00 beta=90.00 gamma=123.54
Last column: nearest neighbours and their distance in Å.
Sites, in units of the cell vectors:
Ni  0.5000  0.5000  0.2500  4 Br 2.46
Al  0.5000  0.5000  0.7500  4 Br 3.03
Br  0.0000  0.0000  0.0461  2 Ni 2.46
Br  0.0000  0.0000  0.4539  2 Ni 2.46

**Size of the total moment**: 1.16 μB/f.u.
**V**: 24.6 Å³/atom

***

#3
This record from Alexandria describes AlNiBr2 after structural relaxation. The functional is GGA-PBE.

Unit cell a=5.9663 b=5.9663 c=4.9035 alpha=84.91 beta=84.91 gamma=33.76
Last column: nearest neighbours and their distance in Å.
Sites, in units of the cell vectors:
Ni  0.6235  0.6235  0.2236  2 Al 2.37, 2 Br 2.44-2.59
Al  0.2586  0.2586  0.2936  2 Ni 2.37
Br  0.9447  0.9447  0.2544  2 Ni 2.67, 2 Al 2.74
Br  0.6732  0.6732  0.7285  2 Ni 2.44-2.59

**Size of the total moment**: 0.00 μB/f.u.
**V**: 24.1 Å³/atom

***

Which one is most stable, and which one is least stable? #3 is the most stable of them, while #1 is the least stable.

***

#1
This record from Alexandria describes AlNiBr after structural relaxation. The functional is GGA-PBE.

Unit cell a=3.3989 b=3.3989 c=5.3112 alpha=90.00 beta=90.00 gamma=120.00
Last column: nearest neighbours and their distance in Å.
Sites, in units of the cell vectors:
Ni  0.3333  0.6667  0.6968  3 Al 2.38
Al  0.0000  0.0000  0.9489  3 Ni 2.38
Br  0.6667  0.3333  0.3543  3 Ni 2.68, 3 Al 2.91

**Size of the total moment**: 0.00 μB/f.u.
**V**: 17.7 Å³/atom

***

#2
This record from Alexandria describes AlNiBr after structural relaxation. The functional is GGA-PBE.

Unit cell a=4.3158 b=4.3158 c=4.3158 alpha=60.00 beta=60.00 gamma=60.00
Last column: nearest neighbours and their distance in Å.
Sites, in units of the cell vectors:
Ni  0.7500  0.7500  0.7500  4 Al 2.64, 4 Br 2.64
Al  0.0000  0.0000  0.0000  4 Ni 2.64
Br  0.5000  0.5000  0.5000  4 Ni 2.64

**Size of the total moment**: 0.00 μB/f.u.
**V**: 18.9 Å³/atom

***

Which one is most stable, and which one is least stable? #1 is the most stable of them, while #2 is the least stable.

***

#1
This record from Alexandria describes AlBrO2 after structural relaxation. The functional is GGA-PBE.

Unit cell a=7.3745 b=7.3745 c=7.3745 alpha=25.29 beta=25.29 gamma=25.29
Last column: nearest neighbours and their distance in Å.
Sites, in units of the cell vectors:
O  0.9221  0.9221  0.9221  1 Al 1.67
O  0.0779  0.0779  0.0779  1 Al 1.67
Al  0.0000  0.0000  0.0000  2 O 1.67
Br  0.5000  0.5000  0.5000  6 O 2.66

**Size of the total moment**: 1.39 μB/f.u.
**V**: 16.1 Å³/atom

***

#2
This record from Alexandria describes AlBrO2 after structural relaxation. The functional is GGA-PBE.

Unit cell a=6.4733 b=6.4733 c=6.4733 alpha=26.90 beta=26.90 gamma=26.90
Last column: nearest neighbours and their distance in Å.
Sites, in units of the cell vectors:
O  0.8824  0.8824  0.8824  3 Al 1.97, 1 Br 2.20
O  0.1176  0.1176  0.1176  3 Al 1.97, 1 Br 2.20
Al  0.5000  0.5000  0.5000  6 O 1.97
Br  0.0000  0.0000  0.0000  2 O 2.20

**Size of the total moment**: 0.00 μB/f.u.
**V**: 12.2 Å³/atom

***

#3
This record from Alexandria describes AlBrO2 after structural relaxation. The functional is GGA-PBE.

Unit cell a=5.3633 b=5.3633 c=5.7340 alpha=62.12 beta=62.12 gamma=90.00
Last column: nearest neighbours and their distance in Å.
Sites, in units of the cell vectors:
O  0.4577  0.1250  0.2500  2 Al 1.77
O  0.2923  0.6250  0.2500  2 Al 1.77
O  0.3750  0.5423  0.7500  2 Al 1.77
O  0.8750  0.7077  0.7500  2 Al 1.77
Al  0.5000  0.5000  0.0000  4 O 1.77
Al  0.2500  0.7500  0.5000  4 O 1.77
Br  0.0000  0.0000  0.0000  4 O 2.82
Br  0.7500  0.2500  0.5000  4 O 2.82

**Size of the total moment**: 2.00 μB/f.u.
**V**: 15.5 Å³/atom

***

Which one is most stable, and which one is least stable? #2 is the most stable of them, while #1 is the least stable.

***

#1
This record from Alexandria describes AlSeBr2O after structural relaxation. The functional is GGA-PBE.

Unit cell a=4.9688 b=4.9688 c=5.0755 alpha=90.00 beta=90.00 gamma=90.00
Last column: nearest neighbours and their distance in Å.
Sites, in units of the cell vectors:
O  0.5000  0.5000  0.5000  4 Se 3.51, 8 Br 3.55
Se  0.0000  0.0000  0.5000  2 Al 2.54
Br  0.0000  0.5000  0.0000  2 Al 2.48
Br  0.5000  0.0000  0.0000  2 Al 2.48
Al  0.0000  0.0000  0.0000  4 Br 2.48, 2 Se 2.54

**Size of the total moment**: 0.69 μB/f.u.
**V**: 25.1 Å³/atom

***

#2
This record from Alexandria describes AlSeBr2O after structural relaxation. The functional is GGA-PBE.

Unit cell a=4.9042 b=4.9042 c=4.3566 alpha=90.00 beta=90.00 gamma=90.00
Last column: nearest neighbours and their distance in Å.
Sites, in units of the cell vectors:
O  0.0000  0.0000  0.0000  2 Se 2.18
Se  0.0000  0.0000  0.5000  2 O 2.18
Br  0.0000  0.5000  0.0000  2 O 2.45
Br  0.5000  0.0000  0.0000  2 O 2.45
Al  0.5000  0.5000  0.5000  8 Br 3.28, 4 Se 3.47

**Size of the total moment**: 0.00 μB/f.u.
**V**: 21.0 Å³/atom

***

Which one is most stable, and which one is least stable? #1 is the most stable of them, while #2 is the least stable.

***

#1
This record from Alexandria describes AlSe2BrO after structural relaxation. The functional is GGA-PBE.

Unit cell a=4.1460 b=4.1460 c=6.2700 alpha=90.00 beta=90.00 gamma=90.00
Last column: nearest neighbours and their distance in Å.
Sites, in units of the cell vectors:
O  0.0000  0.0000  0.0000  4 Se 2.07
Se  0.0000  0.5000  0.0000  2 O 2.07
Se  0.5000  0.0000  0.0000  2 O 2.07
Br  0.0000  0.0000  0.5000  4 Al 2.93, 2 O 3.13
Al  0.5000  0.5000  0.5000  4 Br 2.93

**Size of the total moment**: 0.00 μB/f.u.
**V**: 21.6 Å³/atom

***

#2
This record from Alexandria describes AlSe2BrO after structural relaxation. The functional is GGA-PBE.

Unit cell a=4.9070 b=4.9070 c=4.9138 alpha=90.00 beta=90.00 gamma=90.00
Last column: nearest neighbours and their distance in Å.
Sites, in units of the cell vectors:
O  0.5000  0.5000  0.5000  4 Br 3.47, 8 Se 3.47
Se  0.0000  0.5000  0.0000  2 Al 2.45
Se  0.5000  0.0000  0.0000  2 Al 2.45
Br  0.0000  0.0000  0.5000  2 Al 2.46
Al  0.0000  0.0000  0.0000  4 Se 2.45, 2 Br 2.46

**Size of the total moment**: 0.03 μB/f.u.
**V**: 23.7 Å³/atom

***

Which one is most stable, and which one is least stable? #1 is the most stable of them, while #2 is the least stable.

***

#1
This record from Alexandria describes Al2OsBr after structural relaxation. The functional is GGA-PBE.

Unit cell a=3.0950 b=3.0950 c=7.6777 alpha=90.00 beta=90.00 gamma=90.00
Last column: nearest neighbours and their distance in Å.
Sites, in units of the cell vectors:
Os  0.5000  0.5000  0.7986  4 Al 2.54
Al  0.0000  0.0000  0.9668  4 Os 2.54, 4 Al 2.77
Al  0.5000  0.5000  0.1880  8 Al 2.77-3.09, 1 Os 2.99
Br  0.0000  0.0000  0.5466  4 Os 2.92, 4 Br 3.09, 1 Al 3.23

**Size of the total moment**: 0.00 μB/f.u.
**V**: 18.4 Å³/atom

***

#2
This record from Alexandria describes Al2OsBr after structural relaxation. The functional is GGA-PBE.

Unit cell a=4.8410 b=4.8410 c=2.8747 alpha=90.00 beta=90.00 gamma=90.00
Last column: nearest neighbours and their distance in Å.
Sites, in units of the cell vectors:
Os  0.0000  0.5000  0.5000  8 Al 2.82, 2 Os 2.87
Al  0.0000  0.0000  0.0000  4 Br 2.82, 4 Os 2.82, 2 Al 2.87
Al  0.5000  0.5000  0.0000  4 Os 2.82, 4 Br 2.82, 2 Al 2.87
Br  0.5000  0.0000  0.5000  8 Al 2.82, 2 Br 2.87

**Size of the total moment**: 0.37 μB/f.u.
**V**: 16.8 Å³/atom

***

Which one is most stable, and which one is least stable? #2 is the most stable of them, while #1 is the least stable.